This record from Alexandria via LeMat-Bulk describes a relaxed KCrAs3 crystal. The functional is PBE-GGA.

a = 4.8104 Å, b = 4.8104 Å, c = 4.8104 Å
α = 90.00°, β = 90.00°, γ = 90.00°
Last column: nearest neighbours and their distance in Å.
Element x y z (fractional)
1 K 0.0000 0.0000 0.0000  12 As 3.40
2 Cr 0.5000 0.5000 0.5000  6 As 2.41
3 As 0.0000 0.5000 0.5000  2 Cr 2.41
4 As 0.5000 0.0000 0.5000  2 Cr 2.41
5 As 0.5000 0.5000 0.0000  2 Cr 2.41

Computed properties:
Energy relative to the lowest polymorph listed for this composition in eV/atom: 0.000
VASP energy in Ha/atom: -0.1782
DFT formation energy in eV/atom: 0.08
Total magnetization in Bohr magnetons per cell: 0.00
Space group: Pm-3m